Tb12H5Au3, relaxed, DFT PBE-GGA; total energy = -4.510 eV/atom; total magnetization = 0.00 μB per cell
1.0
-1.199 10.929 7.507
-9.255 -8.877 3.576
12.104 -5.267 1.730
H Au Tb
20 12 48
direct
0.625 0.750 0.875
0.000 0.000 0.500
0.500 0.500 0.000
0.250 0.375 0.625
0.875 0.625 0.750
0.500 0.000 0.000
0.750 0.125 0.875
0.500 0.000 0.500
0.125 0.375 0.250
0.375 0.250 0.125
0.125 0.750 0.375
0.000 0.500 0.000
0.750 0.625 0.375
0.000 0.500 0.500
0.000 0.000 0.000
0.250 0.875 0.125
0.500 0.500 0.500
0.375 0.125 0.750
0.875 0.250 0.625
0.625 0.875 0.250
0.875 0.750 0.125
0.125 0.250 0.875
0.875 0.125 0.250
0.125 0.875 0.750
0.250 0.625 0.875
0.625 0.375 0.750
0.750 0.875 0.625
0.250 0.125 0.375
0.375 0.625 0.250
0.375 0.750 0.625
0.750 0.375 0.125
0.625 0.250 0.375
0.290 0.887 0.982
0.387 0.982 0.790
0.097 0.192 0.210
0.387 0.405 0.097
0.790 0.308 0.903
0.613 0.595 0.903
0.887 0.597 0.905
0.308 0.790 0.403
0.790 0.482 0.387
0.808 0.903 0.290
0.613 0.018 0.210
0.905 0.097 0.887
0.808 0.905 0.018
0.595 0.613 0.403
0.113 0.710 0.518
0.982 0.595 0.192
0.982 0.387 0.290
0.903 0.808 0.790
0.518 0.210 0.113
0.710 0.597 0.192
0.518 0.308 0.905
0.095 0.192 0.482
0.903 0.095 0.613
0.405 0.018 0.308
0.597 0.710 0.692
0.192 0.097 0.710
0.095 0.903 0.113
0.692 0.210 0.597
0.482 0.692 0.095
0.403 0.290 0.308
0.482 0.790 0.887
0.113 0.403 0.095
0.192 0.095 0.982
0.887 0.290 0.482
0.210 0.692 0.097
0.403 0.113 0.595
0.405 0.387 0.597
0.597 0.887 0.405
0.308 0.518 0.405
0.595 0.982 0.692
0.710 0.113 0.018
0.290 0.403 0.808
0.018 0.613 0.710
0.905 0.808 0.518
0.692 0.482 0.595
0.210 0.518 0.613
0.018 0.405 0.808
0.097 0.905 0.387